The following is a PBE calculation of PuTiTlCl6 after structural relaxation, from the Alexandria database.

Unit cell a=6.7174 b=6.7174 c=14.6557 alpha=90.00 beta=90.00 gamma=120.00
With the nearest neighbours (Å) after each atom.
Sites, in units of the cell vectors:
Cl  0.0311  0.3727  0.6486  1 Ti 2.49, 1 Pu 2.76
Cl  0.3727  0.3416  0.3514  1 Ti 2.49, 1 Pu 2.76
Cl  0.6584  0.0311  0.3514  1 Ti 2.49, 1 Pu 2.76
Cl  0.6273  0.6584  0.6486  1 Ti 2.49, 1 Pu 2.76
Cl  0.6273  0.9689  0.8514  1 Ti 2.49, 1 Pu 2.76
Cl  0.9689  0.6273  0.3514  1 Ti 2.49, 1 Pu 2.76
Cl  0.3416  0.3727  0.8514  1 Ti 2.49, 1 Pu 2.76
Cl  0.6584  0.6273  0.1486  1 Ti 2.49, 1 Pu 2.76
Cl  0.9689  0.3416  0.1486  1 Ti 2.49, 1 Pu 2.76
Cl  0.3416  0.9689  0.6486  1 Ti 2.49, 1 Pu 2.76
Cl  0.0311  0.6584  0.8514  1 Ti 2.49, 1 Pu 2.76
Cl  0.3727  0.0311  0.1486  1 Ti 2.49, 1 Pu 2.76
Ti  0.6667  0.3333  0.2500  6 Cl 2.49
Ti  0.3333  0.6667  0.7500  6 Cl 2.49
Tl  0.0000  0.0000  0.0000  6 Cl 3.25
Tl  0.0000  0.0000  0.5000  6 Cl 3.25
Pu  0.6667  0.3333  0.7500  6 Cl 2.76
Pu  0.3333  0.6667  0.2500  6 Cl 2.76

Computed properties:
E_tot = -5.552 eV/atom